Entry one
{
  "formula": "YPCl2",
  "functional": "meta-GGA SCAN",
  "state": "PBEsol geometry",
  "lattice": [[3.228, 0.000, 0.000], [0.000, 3.228, 0.000], [0.000, 0.000, 8.479]],
  "species": ["Cl", "Cl", "P", "Y"],
  "frac_coords": [[0.000, 0.000, 0.319], [0.000, 0.000, 0.681], [0.500, 0.500, 0.000], [0.500, 0.500, 0.500]]
}

---

Entry two
{
  "formula": "YPCl2",
  "functional": "meta-GGA SCAN",
  "state": "PBEsol geometry",
  "lattice": [[3.815, 0.000, 0.000], [-1.907, 4.660, -0.011], [0.000, -1.160, 6.184]],
  "species": ["Y", "Cl", "Cl", "P"],
  "frac_coords": [[0.709, 0.419, 0.343], [0.292, 0.585, 0.673], [0.078, 0.156, 0.070], [0.420, 0.840, 0.414]]
}

---

Which structure is the least stable? The one labeled entry one.

---

Entry one
{
  "formula": "YP2Cl",
  "functional": "meta-GGA SCAN",
  "state": "PBEsol geometry",
  "lattice": [[4.744, 0.000, 0.000], [2.372, 4.108, 0.000], [2.372, 1.369, 3.873]],
  "species": ["P", "P", "Y", "Cl"],
  "frac_coords": [[0.000, 0.000, 0.000], [0.750, 0.750, 0.750], [0.250, 0.250, 0.250], [0.500, 0.500, 0.500]]
}

---

Entry two
{
  "formula": "YP2Cl",
  "functional": "meta-GGA SCAN",
  "state": "PBEsol geometry",
  "lattice": [[-0.162, -3.446, -0.538], [2.747, -0.606, 3.057], [-4.939, -0.445, 4.331]],
  "species": ["Y", "P", "P", "Cl"],
  "frac_coords": [[0.000, 0.375, 0.411], [0.000, 0.873, 0.083], [0.500, 0.875, 0.290], [0.500, 0.376, 0.717]]
}

---

Which structure is the least stable? The one labeled entry one.

---

Entry one
{
  "formula": "ZrPCl2",
  "functional": "meta-GGA SCAN",
  "state": "PBEsol geometry",
  "lattice": [[3.098, 0.000, 0.000], [0.000, 4.433, 0.000], [0.000, 0.000, 5.032]],
  "species": ["Zr", "P", "Cl", "Cl"],
  "frac_coords": [[0.000, 0.500, 0.500], [0.500, 0.500, 0.000], [0.500, 0.000, 0.500], [0.000, 0.000, 0.000]]
}

---

Entry two
{
  "formula": "ZrPCl2",
  "functional": "meta-GGA SCAN",
  "state": "PBEsol geometry",
  "lattice": [[3.021, 0.000, 0.000], [0.000, 3.021, 0.000], [0.000, 0.000, 8.993]],
  "species": ["Zr", "Cl", "Cl", "P"],
  "frac_coords": [[0.500, 0.500, 0.500], [0.000, 0.000, 0.328], [0.000, 0.000, 0.672], [0.500, 0.500, 0.000]]
}

---

Entry three
{
  "formula": "ZrPCl2",
  "functional": "meta-GGA SCAN",
  "state": "PBEsol geometry",
  "lattice": [[3.212, 0.000, 0.000], [0.000, 4.250, 0.000], [-1.606, -2.125, 6.912]],
  "species": ["Cl", "Cl", "P", "Zr"],
  "frac_coords": [[0.653, 0.653, 0.306], [0.347, 0.347, 0.694], [0.500, 0.000, 0.000], [0.000, 0.500, 0.000]]
}

---

Which structure is the least stable? The one labeled entry one.

---

Entry one
{
  "formula": "ZrP2Cl",
  "functional": "meta-GGA SCAN",
  "state": "PBEsol geometry",
  "lattice": [[-2.998, 2.976, -1.829], [-0.464, 0.283, -4.571], [-3.834, -1.547, -2.024]],
  "species": ["P", "P", "Cl", "Zr"],
  "frac_coords": [[0.250, 0.250, 0.250], [0.750, 0.750, 0.750], [0.000, 0.000, 0.000], [0.500, 0.500, 0.500]]
}

---

Entry two
{
  "formula": "ZrP2Cl",
  "functional": "meta-GGA SCAN",
  "state": "PBEsol geometry",
  "lattice": [[-1.575, 1.006, -3.142], [2.775, -1.654, -1.921], [-3.020, -3.661, 2.468]],
  "species": ["Cl", "P", "P", "Zr"],
  "frac_coords": [[0.500, 0.000, 0.000], [0.251, 0.251, 0.503], [0.749, 0.749, 0.497], [0.000, 0.500, 0.000]]
}

---

Which structure is the least stable? The one labeled entry one.

---

Entry one
{
  "formula": "PtPbCl2",
  "functional": "meta-GGA SCAN",
  "state": "PBEsol geometry",
  "lattice": [[-0.327, 2.164, -3.308], [-4.493, -0.465, 0.140], [-0.312, 3.759, 2.489]],
  "species": ["Cl", "Cl", "Pb", "Pt"],
  "frac_coords": [[0.000, 0.500, 0.000], [0.000, 0.000, 0.500], [0.500, 0.500, 0.500], [0.500, 0.000, 0.000]]
}

---

Entry two
{
  "formula": "PtPbCl2",
  "functional": "meta-GGA SCAN",
  "state": "PBEsol geometry",
  "lattice": [[3.475, 0.000, 0.000], [1.738, 3.010, 0.000], [1.738, 1.003, 8.072]],
  "species": ["Pb", "Cl", "Cl", "Pt"],
  "frac_coords": [[0.000, 0.000, 0.000], [0.768, 0.768, 0.695], [0.232, 0.232, 0.305], [0.500, 0.500, 0.500]]
}

---

Which structure is the least stable? The one labeled entry one.

---

Entry one
{
  "formula": "PtPbCl2",
  "functional": "meta-GGA SCAN",
  "state": "PBEsol geometry",
  "lattice": [[3.978, 0.000, 0.000], [0.000, 3.978, 0.000], [-1.989, -1.989, 5.197]],
  "species": ["Cl", "Cl", "Pt", "Pb"],
  "frac_coords": [[0.750, 0.250, 0.500], [0.000, 0.000, 0.000], [0.250, 0.750, 0.500], [0.500, 0.500, 0.000]]
}

---

Entry two
{
  "formula": "PtPbCl2",
  "functional": "meta-GGA SCAN",
  "state": "PBEsol geometry",
  "lattice": [[4.494, 0.002, 0.000], [-0.487, 4.501, 0.000], [-2.004, -2.252, 4.308]],
  "species": ["Pb", "Cl", "Cl", "Pt"],
  "frac_coords": [[0.500, 0.000, 0.000], [0.500, 0.500, 0.500], [0.000, 0.000, 0.500], [0.000, 0.500, 0.000]]
}

---

Which structure is the least stable? The one labeled entry one.

---

Entry one
{
  "formula": "Rh2PbCl",
  "functional": "meta-GGA SCAN",
  "state": "PBEsol geometry",
  "lattice": [[-1.412, -0.670, 2.649], [1.674, -4.670, -0.448], [3.589, 3.787, 1.164]],
  "species": ["Rh", "Rh", "Cl", "Pb"],
  "frac_coords": [[0.000, 0.000, 0.500], [0.500, 0.500, 0.500], [0.500, 0.000, 0.000], [0.000, 0.500, 0.000]]
}

---

Entry two
{
  "formula": "Rh2PbCl",
  "functional": "meta-GGA SCAN",
  "state": "PBEsol geometry",
  "lattice": [[-1.668, -2.314, -0.807], [2.825, -1.631, -1.164], [1.807, -1.877, 7.019]],
  "species": ["Rh", "Rh", "Pb", "Cl"],
  "frac_coords": [[0.547, 0.500, 0.221], [0.960, 0.000, 0.044], [0.339, 0.500, 0.798], [0.654, 0.000, 0.436]]
}

---

Entry three
{
  "formula": "Rh2PbCl",
  "functional": "meta-GGA SCAN",
  "state": "PBEsol geometry",
  "lattice": [[-0.383, -0.621, 3.035], [-3.440, -2.738, -0.994], [3.608, -3.283, -1.822]],
  "species": ["Rh", "Rh", "Cl", "Pb"],
  "frac_coords": [[0.271, 0.729, 0.543], [0.009, 0.981, 0.017], [0.488, 0.576, 0.976], [0.732, 0.214, 0.464]]
}

---

Which structure is the least stable? The one labeled entry one.

---

Entry one
{
  "formula": "Rh2PbCl",
  "functional": "meta-GGA SCAN",
  "state": "PBEsol geometry",
  "lattice": [[-1.087, 0.224, -2.770], [-3.696, -0.326, 1.424], [2.098, 5.978, 1.266]],
  "species": ["Rh", "Rh", "Cl", "Pb"],
  "frac_coords": [[0.998, 0.998, 0.996], [0.692, 0.192, 0.383], [0.517, 0.517, 0.034], [0.293, 0.793, 0.587]]
}

---

Entry two
{
  "formula": "Rh2PbCl",
  "functional": "meta-GGA SCAN",
  "state": "PBEsol geometry",
  "lattice": [[4.558, 0.000, 0.000], [2.279, 3.947, 0.000], [2.279, 1.316, 3.722]],
  "species": ["Cl", "Rh", "Rh", "Pb"],
  "frac_coords": [[0.000, 0.000, 0.000], [0.250, 0.250, 0.250], [0.750, 0.750, 0.750], [0.500, 0.500, 0.500]]
}

---

Which structure is the least stable? The one labeled entry two.